Crystalline YScAl2 at its relaxed geometry. Source: the Alexandria database, functional GGA-PBE.

Results
electronic total energy: -20.93 eV/cell
formation energy from the elements: -15.7 kJ/mol of atoms
crystal system: trigonal
total magnetization: 0.00 μB per cell
DOS at the Fermi energy: 5.17 states/eV/f.u.

Cell lengths 9.4998, 9.4998, 9.4998 Å; angles 20.62, 20.62, 20.62 degrees
Closest atoms and distances in Å follow each position.
Positions (direct):
Y 0.7500 0.7500 0.7500  6 Al 3.12, 6 Y 3.40
Sc 0.2500 0.2500 0.2500  6 Al 2.96
Al 0.9964 0.9964 0.9964  3 Sc 2.96, 3 Y 3.12
Al 0.5036 0.5036 0.5036  3 Sc 2.96, 3 Y 3.12

---

Crystalline SrLi2Ge2 at its relaxed geometry. Source: the Alexandria database, functional GGA-PBE.

Results
electronic total energy: -31.57 eV/cell
formation energy from the elements: -20.1 kJ/mol of atoms
crystal system: tetragonal
total magnetization: 0.76 μB per cell
DOS at the Fermi energy: 3.01 states/eV/f.u.

Cell lengths 8.0204, 8.0204, 3.4712 Å; angles 90.00, 90.00, 90.00 degrees
Closest atoms and distances in Å follow each position.
Positions (direct):
Sr 0.0000 0.0000 0.0000  4 Ge 3.22, 8 Li 3.47, 2 Sr 3.47
Sr 0.5000 0.5000 0.0000  4 Ge 3.22, 8 Li 3.47, 2 Sr 3.47
Ge 0.3846 0.8846 0.0000  1 Ge 2.62, 4 Li 2.86
Ge 0.8846 0.6154 0.0000  1 Ge 2.62, 4 Li 2.86
Ge 0.6154 0.1154 0.0000  1 Ge 2.62, 4 Li 2.86
Ge 0.1154 0.3846 0.0000  1 Ge 2.62, 4 Li 2.86
Li 0.1632 0.6632 0.5000  6 Ge 2.86-3.05
Li 0.6632 0.8368 0.5000  6 Ge 2.86-3.05
Li 0.8368 0.3368 0.5000  6 Ge 2.86-3.05
Li 0.3368 0.1632 0.5000  6 Ge 2.86-3.05

---

Crystalline Cd2PHRu at its relaxed geometry. Source: the Alexandria database, functional GGA-PBE.

Results
electronic total energy: -15.39 eV/cell
crystal system: tetragonal
total magnetization: 1.74 μB per cell
DOS at the Fermi energy: 4.32 states/eV/f.u.

Cell lengths 5.0972, 4.3732, 5.0972 Å; angles 90.00, 90.00, 90.00 degrees
Closest atoms and distances in Å follow each position.
Positions (direct):
Ru 0.0000 0.5000 0.0000  2 P 2.19
H 0.5000 0.5000 0.5000  8 Cd 3.36, 4 Ru 3.60
P 0.0000 0.0000 0.0000  2 Ru 2.19
Cd 0.0000 0.0000 0.5000  2 P 2.55
Cd 0.5000 0.0000 0.0000  2 P 2.55

---

Crystalline Li2InSb at its relaxed geometry. Source: the Alexandria database, functional GGA-PBE.

Results
electronic total energy: -12.09 eV/cell
crystal system: orthorhombic
total magnetization: 0.00 μB per cell
DOS at the Fermi energy: 1.87 states/eV/f.u.

Cell lengths 4.9423, 3.3906, 4.9844 Å; angles 90.00, 90.00, 90.00 degrees
Closest atoms and distances in Å follow each position.
Positions (direct):
In 0.5000 0.6250 0.8498  8 Li 2.97-3.05, 2 Sb 3.33
Li 0.0000 0.1250 0.9068  4 Sb 3.00-3.03, 4 In 3.01, 2 Li 3.28
Li 0.5000 0.1250 0.3402  4 In 2.97-3.05, 4 Sb 3.01, 2 Li 3.28
Sb 0.0000 0.6250 0.4033  8 Li 3.00-3.03, 2 In 3.33